# 1
DFT (PBE-GGA) results for a relaxed Sn2Se3N2 crystal.

The structure in extended XYZ format:
```
7
Lattice="3.778 0.000 0.000 0.515 4.288 0.000 1.638 1.178 9.213" Properties=species:S:1:pos:R:3 pbc="T T T"
Sn 1.164 1.797 2.070
Sn 4.767 3.668 7.143
Se 2.304 1.469 5.901
Se 1.889 0.000 0.000
Se 3.627 3.997 3.312
N 2.885 2.410 7.500
N 3.046 3.055 1.713
```

Values from the calculation:
The theoretical density comes out at 5.6 Mg/m³. Its uncorrected formation energy is 442 meV per atom.

# 2
DFT (PBE-GGA) results for a relaxed MgHgPb crystal.

The structure in extended XYZ format:
```
6
Lattice="4.556 0.000 0.000 0.000 4.556 0.000 0.000 0.000 7.461" Properties=species:S:1:pos:R:3 pbc="T T T"
Mg 1.139 3.417 0.000
Mg 3.417 1.139 0.000
Hg 1.139 1.139 1.812
Hg 3.417 3.417 5.649
Pb 1.139 1.139 4.926
Pb 3.417 3.417 2.535
```

Values from the calculation:
The theoretical density comes out at 9.3 Mg/m³. For the calculated total energy, the calculation gives -11.7 eV for the cell shown.